Entry 1:
Material: MgHgMo2
Method: DFT, SCAN
State: PBEsol geometry

E	-283.6	eV for the cell shown
ΔE to the lowest computed polymorph	16	meV per atom
total magnetization	0.000	μB/cell
ΔE_f	27	kJ/mol of atoms

The structure in POSCAR format:
```
MgHgMo2
1.0
3.805 0.000 0.000
0.000 3.805 0.000
0.000 0.000 9.180
Mg Hg Mo
2 2 4
direct
0.000 0.000 0.000
0.500 0.500 0.500
0.000 0.000 0.500
0.500 0.500 0.000
0.000 0.500 0.250
0.000 0.500 0.750
0.500 0.000 0.250
0.500 0.000 0.750
```

***

Entry 2:
Material: MgHgMo3
Method: DFT, SCAN
State: PBEsol geometry

E	-165.4	eV for the cell shown
total magnetization	0.004	μB/cell
ΔE_f	239	kJ/mol of atoms

The structure in POSCAR format:
```
MgHgMo3
1.0
4.905 0.000 0.000
0.000 4.905 0.000
0.000 0.000 4.905
Mg Hg Mo
1 1 3
direct
0.000 0.000 0.000
0.500 0.500 0.500
0.000 0.500 0.500
0.500 0.000 0.500
0.500 0.500 0.000
```

***

Entry 3:
Material: Mg2HgMo
Method: DFT, SCAN
State: PBEsol geometry

E	-223.9	eV for the cell shown
total magnetization	0.000	μB/cell
ΔE_f	25	kJ/mol of atoms

The structure in POSCAR format:
```
Mg2HgMo
1.0
10.002 0.000 0.000
0.000 2.894 0.000
-0.994 0.000 5.068
Mg Hg Mo
4 2 2
direct
0.000 0.000 0.000
0.240 0.000 0.735
0.500 0.500 0.000
0.740 0.500 0.735
0.244 0.500 0.263
0.744 0.000 0.263
0.492 0.000 0.499
0.992 0.500 0.499
```

***

Entry 4:
Material: MgHgMo2
Method: DFT, SCAN
State: PBEsol geometry

E	-283.0	eV for the cell shown
ΔE to the lowest computed polymorph	79	meV per atom
total magnetization	0.000	μB/cell
ΔE_f	33	kJ/mol of atoms

The structure in POSCAR format:
```
MgHgMo2
1.0
9.356 0.000 0.000
0.000 2.743 0.000
-0.382 0.000 5.288
Mg Hg Mo
2 2 4
direct
0.000 0.000 0.000
0.500 0.500 0.000
0.251 0.000 0.777
0.751 0.500 0.777
0.011 0.500 0.481
0.253 0.500 0.282
0.511 0.000 0.481
0.753 0.000 0.282
```

***

Entry 5:
Material: MgHgNO2
Method: DFT, SCAN
State: PBEsol geometry

E	-94.4	eV for the cell shown
total magnetization	3.104	μB/cell
ΔE_f (raw)	0.10	eV/atom

The structure in POSCAR format:
```
MgHgNO2
1.0
3.874 0.000 0.000
0.000 3.874 0.000
0.000 0.000 4.157
Mg Hg N O
1 1 1 2
direct
0.000 0.000 0.000
0.500 0.500 0.500
0.000 0.000 0.500
0.000 0.500 0.000
0.500 0.000 0.000
```

***

Entry 6:
Material: MgHgSN2
Method: DFT, SCAN
State: PBEsol geometry

E	-96.3	eV for the cell shown
total magnetization	4.348	μB/cell
ΔE_f (raw)	1.02	eV/atom

The structure in POSCAR format:
```
MgHgSN2
1.0
4.037 0.000 0.000
0.000 4.037 0.000
0.000 0.000 5.173
Mg Hg S N
1 1 1 2
direct
0.000 0.000 0.000
0.500 0.500 0.500
0.000 0.000 0.500
0.000 0.500 0.000
0.500 0.000 0.000
```

***

Entry 7:
Material: NaMg2ZnHg
Method: DFT, SCAN
State: PBEsol geometry

E	-95.1	eV for the cell shown
total magnetization	0.000	μB/cell
ΔE_f	15	kJ/mol of atoms

The structure in POSCAR format:
```
NaMg2ZnHg
1.0
5.028 0.000 0.000
0.000 5.028 0.000
0.000 0.000 5.317
Na Mg Zn Hg
1 2 1 1
direct
0.000 0.000 0.000
0.000 0.500 0.500
0.500 0.000 0.500
0.000 0.000 0.500
0.500 0.500 0.000
```

***

Entry 8:
Material: MgNb2Hg
Method: DFT, SCAN
State: PBEsol geometry

E	-551.8	eV for the cell shown
total magnetization	0.002	μB/cell
ΔE_f	35	kJ/mol of atoms

The structure in POSCAR format:
```
MgNb2Hg
1.0
6.662 0.000 0.000
0.000 6.662 0.000
0.000 0.000 6.662
Mg Nb Hg
4 8 4
direct
0.000 0.000 0.000
0.000 0.500 0.500
0.500 0.000 0.500
0.500 0.500 0.000
0.250 0.250 0.250
0.250 0.250 0.750
0.250 0.750 0.250
0.250 0.750 0.750
0.750 0.250 0.250
0.750 0.250 0.750
0.750 0.750 0.250
0.750 0.750 0.750
0.000 0.000 0.500
0.000 0.500 0.000
0.500 0.000 0.000
0.500 0.500 0.500
```

***

Entry 9:
Material: MgNiHg2
Method: DFT, SCAN
State: PBEsol geometry

E	-314.8	eV for the cell shown
total magnetization	0.000	μB/cell
ΔE_f	2	kJ/mol of atoms

The structure in POSCAR format:
```
MgNiHg2
1.0
3.885 0.000 0.000
0.000 3.161 0.000
0.000 0.000 11.891
Mg Ni Hg
2 2 4
direct
0.000 0.000 0.000
0.000 0.500 0.500
0.500 0.000 0.424
0.500 0.500 0.924
0.000 0.000 0.284
0.000 0.500 0.784
0.500 0.000 0.642
0.500 0.500 0.142
```

***

Entry 10:
Material: MgNiHg4
Method: DFT, SCAN
State: PBEsol geometry

E	-291.1	eV for the cell shown
total magnetization	0.000	μB/cell
ΔE_f	44	kJ/mol of atoms

The structure in POSCAR format:
```
MgNiHg4
1.0
0.000 3.962 3.962
3.962 0.000 3.962
3.962 3.962 0.000
Mg Ni Hg
1 1 4
direct
0.000 0.000 0.000
0.250 0.250 0.250
0.126 0.625 0.625
0.625 0.126 0.625
0.625 0.625 0.126
0.625 0.625 0.625
```

***

Entry 11:
Material: MgNi2Hg
Method: DFT, SCAN
State: PBEsol geometry

E	-105.4	eV for the cell shown
total magnetization	0.000	μB/cell
ΔE_f	3	kJ/mol of atoms

The structure in POSCAR format:
```
MgNi2Hg
1.0
2.904 0.000 0.000
0.000 3.459 0.000
0.000 0.000 5.628
Mg Ni Hg
1 2 1
direct
0.000 0.000 0.000
0.500 0.500 0.241
0.500 0.500 0.759
0.000 0.000 0.500
```

***

Entry 12:
Material: MgNi2Hg
Method: DFT, SCAN
State: PBEsol geometry

E	-210.9	eV for the cell shown
total magnetization	0.000	μB/cell
ΔE_f	1	kJ/mol of atoms

The structure in POSCAR format:
```
MgNi2Hg
1.0
3.777 0.000 0.000
0.000 3.777 0.000
0.000 0.000 7.851
Mg Ni Hg
2 4 2
direct
0.000 0.000 0.000
0.500 0.500 0.500
0.000 0.000 0.500
0.000 0.500 0.250
0.500 0.000 0.750
0.500 0.500 0.000
0.000 0.500 0.750
0.500 0.000 0.250
```